Below is a geometry-optimized NpZn2Ga2Au2 structure, with properties calculated at the GGA-PBE level.

It has space group R-3m (No. 166, hexagonal axes), with a = 4.3745 Å, b = 4.3745 Å, c = 23.7639 Å, α = 90.00°, β = 90.00° and γ = 120.00°. The distinct sites, in fractional coordinates, are Np at (0.0000, 0.0000, 0.0000), Zn at (0.0000, 0.0000, 0.1419), Ga at (0.0000, 0.0000, 0.2622) and Au at (0.0000, 0.0000, 0.4312).

Its mass density is 11.40 g/cm³. Its energy relative to the elements is -148 meV per atom. The energy comes out at -4.162 eV/atom. The value obtained for the magnetic moment is 12.4 μB per cell. The volume is 18.754 A^3/atom.